# 1
Entry from the Alexandria database: an optimized crystal structure of BaCoTe2I (PBE).

Computed properties:
Energy above the lowest structure with this stoichiometry: 0.00 kcal/mol of atoms
Total DFT energy (no corrections): -3.9428 eV/atom
SG: P4/mmm

abc: 5.1962 5.1962 5.7631
angles: 90.00 90.00 90.00
With the nearest neighbours (Å) after each atom.
Atoms (fractional coordinates):
I1 0.0000 0.0000 0.5000  2 Co 2.88
Te1 0.0000 0.5000 0.0000  2 Co 2.60
Te2 0.5000 0.0000 0.0000  2 Co 2.60
Co1 0.0000 0.0000 0.0000  4 Te 2.60, 2 I 2.88
Ba1 0.5000 0.5000 0.5000  4 I 3.67, 8 Te 3.88

***

# 2
Entry from the Alexandria database: an optimized crystal structure of BaCoTe2I (PBE).

Computed properties:
Energy above the lowest structure with this stoichiometry: 29.17 kcal/mol of atoms
Total DFT energy (no corrections): -2.6777 eV/atom
SG: P4/mmm

abc: 6.7479 6.7479 6.6430
angles: 90.00 90.00 90.00
With the nearest neighbours (Å) after each atom.
Atoms (fractional coordinates):
I1 0.0000 0.0000 0.5000  2 Ba 3.32
Te1 0.0000 0.5000 0.0000  2 Ba 3.37
Te2 0.5000 0.0000 0.0000  2 Ba 3.37
Co1 0.5000 0.5000 0.5000  8 Te 4.73, 4 I 4.77
Ba1 0.0000 0.0000 0.0000  2 I 3.32, 4 Te 3.37

***

# 3
Entry from the Alexandria database: an optimized crystal structure of BaTlCoI2 (PBE).

Computed properties:
Total DFT energy (no corrections): -2.4626 eV/atom
SG: P4/mmm

abc: 6.2541 6.6614 6.2541
angles: 90.00 90.00 90.00
With the nearest neighbours (Å) after each atom.
Atoms (fractional coordinates):
I1 0.0000 0.0000 0.5000  2 Tl 3.13
I2 0.5000 0.0000 0.0000  2 Tl 3.13
Tl1 0.0000 0.0000 0.0000  4 I 3.13, 2 Ba 3.33
Co1 0.5000 0.5000 0.5000  4 Ba 4.42, 8 I 4.57
Ba1 0.0000 0.5000 0.0000  2 Tl 3.33

***

| no. | M_tot (μB/f.u.) |
| --- | --- |
| 1 | 1.80 |
| 2 | 5.16 |
| 3 | 2.39 |